Record 1
LiErU2Se4 | PBE | relaxed

Unit cell a=3.939 b=6.801 c=7.283 alpha=108.25 beta=90.00 gamma=90.00
Element x y z (fractional)
Se1 0.000 0.261 0.766
Se2 0.000 0.739 0.234
Se3 0.500 0.253 0.236
Se4 0.500 0.747 0.764
U1 0.500 0.000 0.500
U2 0.000 0.500 0.500
Er1 0.000 0.000 0.000
Li1 0.500 0.500 0.000

N(E_F)	8.890	states/eV per cell
electronic total energy	-53.26	eV/cell

=====

Record 2
Zn2FeIr | PBE | relaxed

Unit cell a=2.757 b=3.663 c=5.421 alpha=90.00 beta=90.00 gamma=90.00
Element x y z (fractional)
Zn1 0.500 0.500 0.252
Zn2 0.000 0.000 0.999
Fe1 0.000 0.000 0.510
Ir1 0.500 0.500 0.739

N(E_F)	2.961	states/eV per cell
formation enthalpy at 0 K	-37.4	meV per atom
electronic total energy	-20.02	eV/cell

=====

Record 3
LaTbPtRh | PBE | relaxed

Unit cell a=5.028 b=5.028 c=5.028 alpha=60.00 beta=60.00 gamma=60.00
Element x y z (fractional)
Rh1 0.750 0.750 0.750
Tb1 0.000 0.000 0.000
Pt1 0.250 0.250 0.250
La1 0.500 0.500 0.500

N(E_F)	2.575	states/eV per cell
formation enthalpy at 0 K	-922.8	meV per atom
energy above the most stable polymorph in this dataset	86.5	meV per atom
electronic total energy	-26.64	eV/cell

=====

Record 4
CsMnMoH2 | PBE | relaxed

Unit cell a=4.050 b=4.624 c=4.050 alpha=90.00 beta=90.00 gamma=90.00
Element x y z (fractional)
Mo1 0.000 0.000 0.000
Mn1 0.000 0.500 0.000
Cs1 0.500 0.500 0.500
H1 0.500 0.000 0.000
H2 0.000 0.000 0.500

N(E_F)	4.287	states/eV per cell
electronic total energy	-22.24	eV/cell

=====

Record 5
ZrBi2Pt | PBE | relaxed

Unit cell a=7.974 b=7.974 c=6.472 alpha=51.97 beta=51.97 gamma=90.00
Element x y z (fractional)
Zr1 0.500 0.500 0.000
Zr2 0.250 0.750 0.500
Bi1 0.088 0.625 0.250
Bi2 0.662 0.125 0.250
Bi3 0.375 0.338 0.750
Bi4 0.875 0.912 0.750
Pt1 0.750 0.250 0.500
Pt2 0.000 0.000 0.000

N(E_F)	6.353	states/eV per cell
formation enthalpy at 0 K	11.1	meV per atom
energy above the most stable polymorph in this dataset	28.7	meV per atom
electronic total energy	-44.61	eV/cell